Record 1
A geometry-optimized Ba3YNb2O9 structure, computed with PBE.

Summary:
**Calculated total energy**: -8.065 eV per atom
**Formation energy (no corrections)**: -2.9322 eV per atom
**Space-group type**: P-3m1 (164)

Lattice parameters (Å, degrees): 5.9918 5.9918 7.3541 90.00 90.00 120.00
Last column: nearest neighbours and their distance in Å.
Fractional positions:
Ba  0.0000  0.0000  0.0000  12 O 2.97-3.00
Ba  0.3333  0.6667  0.6708  12 O 2.98-3.06
Ba  0.6667  0.3333  0.3292  12 O 2.98-3.06
Y  0.0000  0.0000  0.5000  6 O 2.25
Nb  0.3333  0.6667  0.1640  6 O 2.00-2.11
Nb  0.6667  0.3333  0.8360  6 O 2.00-2.11
O  0.0000  0.5000  0.0000  2 Nb 2.11
O  0.1747  0.3493  0.3195  1 Nb 2.00
O  0.1747  0.8253  0.3195  1 Nb 2.00
O  0.3493  0.1747  0.6805  1 Nb 2.00
O  0.5000  0.0000  0.0000  2 Nb 2.11
O  0.5000  0.5000  0.0000  2 Nb 2.11
O  0.6507  0.8253  0.3195  1 Nb 2.00
O  0.8253  0.1747  0.6805  1 Nb 2.00
O  0.8253  0.6507  0.6805  1 Nb 2.00

Record 2
A geometry-optimized BaNb3Zn4O12 structure, computed with PBE.

Summary:
**Calculated total energy**: -6.907 eV per atom
**Formation energy (no corrections)**: -2.0704 eV per atom
**Space-group type**: R32 (155)

Lattice parameters (Å, degrees): 7.0493 7.0493 7.0493 108.06 108.06 108.06
Last column: nearest neighbours and their distance in Å.
Fractional positions:
Ba  0.0000  0.0000  0.0000  6 O 2.76
Nb  0.0000  0.5600  0.4400  6 O 1.95-2.11
Nb  0.4400  0.0000  0.5600  6 O 1.95-2.11
Nb  0.5600  0.4400  0.0000  6 O 1.95-2.11
Zn  0.0624  0.5000  0.9376  3 O 1.89-1.92
Zn  0.5000  0.5000  0.5000  3 O 1.94
Zn  0.5000  0.9376  0.0624  3 O 1.89-1.92
Zn  0.9376  0.0624  0.5000  3 O 1.89-1.92
O  0.0400  0.6416  0.7448  1 Zn 1.92, 1 Nb 1.95
O  0.1034  0.8966  0.5000  1 Zn 1.89, 2 Nb 2.11
O  0.2552  0.3584  0.9600  1 Zn 1.92, 1 Nb 1.95
O  0.3301  0.6699  0.5000  1 Zn 1.94, 2 Nb 2.06
O  0.3584  0.9600  0.2552  1 Zn 1.92, 1 Nb 1.95
O  0.5000  0.1034  0.8966  1 Zn 1.89, 2 Nb 2.11
O  0.5000  0.3301  0.6699  1 Zn 1.94, 2 Nb 2.06
O  0.6416  0.7448  0.0400  1 Zn 1.92, 1 Nb 1.95
O  0.6699  0.5000  0.3301  1 Zn 1.94, 2 Nb 2.06
O  0.7448  0.0400  0.6416  1 Zn 1.92, 1 Nb 1.95
O  0.8966  0.5000  0.1034  1 Zn 1.89, 2 Nb 2.11
O  0.9600  0.2552  0.3584  1 Zn 1.92, 1 Nb 1.95

Record 3
A geometry-optimized Ba3Nb2ZnO9 structure, computed with PBE.

Summary:
**Calculated total energy**: -7.442 eV per atom
**Formation energy (no corrections)**: -2.6549 eV per atom
**Space-group type**: P-3m1 (164)

Lattice parameters (Å, degrees): 5.8709 5.8709 7.2128 90.00 90.00 120.00
Last column: nearest neighbours and their distance in Å.
Fractional positions:
Ba  0.0000  0.0000  0.0000  12 O 2.92-2.94
Ba  0.3333  0.6667  0.6656  12 O 2.94-2.96
Ba  0.6667  0.3333  0.3344  12 O 2.94-2.96
Nb  0.3333  0.6667  0.1776  6 O 1.95-2.12
Nb  0.6667  0.3333  0.8224  6 O 1.95-2.12
Zn  0.0000  0.0000  0.5000  6 O 2.16
O  0.0000  0.5000  0.0000  2 Nb 2.12
O  0.1720  0.3439  0.3245  1 Nb 1.95, 1 Zn 2.16
O  0.1720  0.8280  0.3245  1 Nb 1.95, 1 Zn 2.16
O  0.3439  0.1720  0.6755  1 Nb 1.95, 1 Zn 2.16
O  0.5000  0.0000  0.0000  2 Nb 2.12
O  0.5000  0.5000  0.0000  2 Nb 2.12
O  0.6561  0.8280  0.3245  1 Nb 1.95, 1 Zn 2.16
O  0.8280  0.1720  0.6755  1 Nb 1.95, 1 Zn 2.16
O  0.8280  0.6561  0.6755  1 Nb 1.95, 1 Zn 2.16

Record 4
A geometry-optimized Ba2NbZnO6 structure, computed with PBE.

Summary:
**Calculated total energy**: -6.802 eV per atom
**Formation energy (no corrections)**: -2.3079 eV per atom
**Space-group type**: R-3m (166)

Lattice parameters (Å, degrees): 10.4468 10.4468 10.4468 32.88 32.88 32.88
Last column: nearest neighbours and their distance in Å.
Fractional positions:
Ba  0.1315  0.1315  0.1315  12 O 2.97-3.19
Ba  0.2856  0.2856  0.2856  12 O 2.88-3.13
Ba  0.7144  0.7144  0.7144  12 O 2.88-3.13
Ba  0.8685  0.8685  0.8685  12 O 2.97-3.19
Nb  0.4065  0.4065  0.4065  3 O 1.92
Nb  0.5935  0.5935  0.5935  3 O 1.92
Zn  0.0000  0.0000  0.0000  6 O 2.13
Zn  0.5000  0.5000  0.5000  6 O 2.04
O  0.1481  0.6101  0.6101  1 Zn 2.04, 1 Nb 2.16
O  0.2112  0.2112  0.7018  1 Nb 1.92, 1 Zn 2.13
O  0.2112  0.7018  0.2112  1 Nb 1.92, 1 Zn 2.13
O  0.2982  0.7888  0.7888  1 Nb 1.92, 1 Zn 2.13
O  0.3899  0.3899  0.8519  1 Zn 2.04, 1 Nb 2.16
O  0.3899  0.8519  0.3899  1 Zn 2.04, 1 Nb 2.16
O  0.6101  0.1481  0.6101  1 Zn 2.04, 1 Nb 2.16
O  0.6101  0.6101  0.1481  1 Zn 2.04, 1 Nb 2.16
O  0.7018  0.2112  0.2112  1 Nb 1.92, 1 Zn 2.13
O  0.7888  0.2982  0.7888  1 Nb 1.92, 1 Zn 2.13
O  0.7888  0.7888  0.2982  1 Nb 1.92, 1 Zn 2.13
O  0.8519  0.3899  0.3899  1 Zn 2.04, 1 Nb 2.16

Record 5
A geometry-optimized Ba3NbZn2O8 structure, computed with PBE.

Summary:
**Calculated total energy**: -6.339 eV per atom
**Formation energy (no corrections)**: -2.1926 eV per atom
**Space-group type**: P-3m1 (164)

Lattice parameters (Å, degrees): 5.8771 5.8771 7.6390 90.00 90.00 120.00
Last column: nearest neighbours and their distance in Å.
Fractional positions:
Ba  0.0000  0.0000  0.0000  12 O 3.08-3.40
Ba  0.3333  0.6667  0.6484  1 O 2.52
Ba  0.6667  0.3333  0.3516  1 O 2.52
Nb  0.0000  0.0000  0.5000  6 O 2.02
Zn  0.3333  0.6667  0.2221  4 O 1.86-1.99
Zn  0.6667  0.3333  0.7779  4 O 1.86-1.99
O  0.1595  0.3190  0.3427  1 Zn 1.99, 1 Nb 2.02
O  0.1595  0.8405  0.3427  1 Zn 1.99, 1 Nb 2.02
O  0.3190  0.1595  0.6573  1 Zn 1.99, 1 Nb 2.02
O  0.3333  0.6667  0.9786  1 Zn 1.86
O  0.6667  0.3333  0.0214  1 Zn 1.86
O  0.6810  0.8405  0.3427  1 Zn 1.99, 1 Nb 2.02
O  0.8405  0.1595  0.6573  1 Zn 1.99, 1 Nb 2.02
O  0.8405  0.6810  0.6573  1 Zn 1.99, 1 Nb 2.02

Record 6
A geometry-optimized BaZrNbO6 structure, computed with PBE.

Summary:
**Calculated total energy**: -8.192 eV per atom
**Formation energy (no corrections)**: -2.6044 eV per atom
**Space-group type**: P4_2nm (102)

Lattice parameters (Å, degrees): 5.2289 5.2289 10.2941 90.00 90.00 90.00
Last column: nearest neighbours and their distance in Å.
Fractional positions:
Ba  0.0000  0.0000  0.0000  6 O 2.51-2.80
Ba  0.5000  0.5000  0.5000  6 O 2.51-2.80
Zr  0.0000  0.0000  0.3343  6 O 2.11-2.17
Zr  0.5000  0.5000  0.8343  6 O 2.11-2.17
Nb  0.0000  0.0000  0.6645  6 O 1.99-2.05
Nb  0.5000  0.5000  0.1645  6 O 1.99-2.05
O  0.1609  0.1609  0.5051  1 Nb 2.03, 1 Zr 2.12
O  0.2243  0.2243  0.7822  1 Nb 2.05, 1 Zr 2.11
O  0.2383  0.2383  0.2112  1 Nb 1.99, 1 Zr 2.17
O  0.2617  0.7383  0.7112  1 Nb 1.99, 1 Zr 2.17
O  0.2757  0.7243  0.2822  1 Nb 2.05, 1 Zr 2.11
O  0.3391  0.6609  0.0051  1 Nb 2.03, 1 Zr 2.12
O  0.6609  0.3391  0.0051  1 Nb 2.03, 1 Zr 2.12
O  0.7243  0.2757  0.2822  1 Nb 2.05, 1 Zr 2.11
O  0.7383  0.2617  0.7112  1 Nb 1.99, 1 Zr 2.17
O  0.7617  0.7617  0.2112  1 Nb 1.99, 1 Zr 2.17
O  0.7757  0.7757  0.7822  1 Nb 2.05, 1 Zr 2.11
O  0.8391  0.8391  0.5051  1 Nb 2.03, 1 Zr 2.12

Record 7
A geometry-optimized Ba2ZrNb3O12 structure, computed with PBE.

Summary:
**Calculated total energy**: -8.309 eV per atom
**Formation energy (no corrections)**: -2.6371 eV per atom
**Space-group type**: R-3m (166)

Lattice parameters (Å, degrees): 7.5973 7.5973 7.5973 60.14 60.14 60.14
Last column: nearest neighbours and their distance in Å.
Fractional positions:
Ba  0.1834  0.1834  0.1834  6 O 2.74-2.86
Ba  0.8166  0.8166  0.8166  6 O 2.74-2.86
Zr  0.5000  0.5000  0.5000  6 O 2.12
Nb  0.0000  0.5000  0.5000  6 O 2.01
Nb  0.5000  0.0000  0.5000  6 O 2.01
Nb  0.5000  0.5000  0.0000  6 O 2.01
O  0.1680  0.5744  0.5744  1 Nb 2.01, 1 Zr 2.12
O  0.1906  0.1906  0.5531  2 Nb 2.01
O  0.1906  0.5531  0.1906  2 Nb 2.01
O  0.4256  0.4256  0.8320  1 Nb 2.01, 1 Zr 2.12
O  0.4256  0.8320  0.4256  1 Nb 2.01, 1 Zr 2.12
O  0.4469  0.8094  0.8094  2 Nb 2.01
O  0.5531  0.1906  0.1906  2 Nb 2.01
O  0.5744  0.1680  0.5744  1 Nb 2.01, 1 Zr 2.12
O  0.5744  0.5744  0.1680  1 Nb 2.01, 1 Zr 2.12
O  0.8094  0.4469  0.8094  2 Nb 2.01
O  0.8094  0.8094  0.4469  2 Nb 2.01
O  0.8320  0.4256  0.4256  1 Nb 2.01, 1 Zr 2.12

Record 8
A geometry-optimized Ba3ZrNb5O12 structure, computed with PBE.

Summary:
**Calculated total energy**: -8.572 eV per atom
**Formation energy (no corrections)**: -2.6597 eV per atom
**Space-group type**: P4/nmm (129)

Lattice parameters (Å, degrees): 5.9858 5.9858 16.6664 90.00 90.00 90.00
Last column: nearest neighbours and their distance in Å.
Fractional positions:
Ba  0.2500  0.7500  0.0000  12 O 2.96-2.99
Ba  0.2500  0.7500  0.2540  12 O 2.89-3.03
Ba  0.2500  0.7500  0.7460  12 O 2.89-3.03
Ba  0.7500  0.2500  0.0000  12 O 2.96-2.99
Ba  0.7500  0.2500  0.2540  12 O 2.89-3.03
Ba  0.7500  0.2500  0.7460  12 O 2.89-3.03
Zr  0.2500  0.2500  0.1265  6 O 2.05-2.17
Zr  0.7500  0.7500  0.8735  6 O 2.05-2.17
Nb  0.0000  0.0000  0.5000  4 O 2.12-2.14
Nb  0.0000  0.5000  0.5000  4 O 2.12-2.14
Nb  0.2500  0.2500  0.3789  5 O 2.12-2.16
Nb  0.2500  0.2500  0.6213  5 O 2.12-2.21
Nb  0.2500  0.2500  0.8731  6 O 1.98-2.08
Nb  0.5000  0.0000  0.5000  4 O 2.12-2.14
Nb  0.5000  0.5000  0.5000  4 O 2.12-2.14
Nb  0.7500  0.7500  0.1269  6 O 1.98-2.08
Nb  0.7500  0.7500  0.3787  5 O 2.12-2.21
Nb  0.7500  0.7500  0.6211  5 O 2.12-2.16
O  0.9999  0.9999  0.3718  3 Nb 2.12-2.14
O  0.0001  0.0001  0.6282  3 Nb 2.12-2.14
O  0.9999  0.5001  0.3718  3 Nb 2.12-2.14
O  0.0001  0.4999  0.6282  3 Nb 2.12-2.14
O  0.0049  0.0049  0.8760  1 Nb 2.08, 1 Zr 2.16
O  0.0049  0.4951  0.8760  1 Nb 2.08, 1 Zr 2.16
O  0.2500  0.2500  0.2495  1 Zr 2.05, 1 Nb 2.16
O  0.2500  0.2500  0.7540  2 Nb 1.98-2.21
O  0.2500  0.2500  0.9966  1 Nb 2.06, 1 Zr 2.17
O  0.2500  0.7500  0.5000  4 Nb 2.12
O  0.4951  0.0049  0.8760  1 Nb 2.08, 1 Zr 2.16
O  0.4951  0.4951  0.8760  1 Nb 2.08, 1 Zr 2.16
O  0.5001  0.9999  0.3718  3 Nb 2.12-2.14
O  0.4999  0.0001  0.6282  3 Nb 2.12-2.14
O  0.5001  0.5001  0.3718  3 Nb 2.12-2.14
O  0.4999  0.4999  0.6282  3 Nb 2.12-2.14
O  0.5049  0.5049  0.1240  1 Nb 2.08, 1 Zr 2.16
O  0.5049  0.9951  0.1240  1 Nb 2.08, 1 Zr 2.16
O  0.7500  0.2500  0.5000  4 Nb 2.12
O  0.7500  0.7500  0.0034  1 Nb 2.06, 1 Zr 2.17
O  0.7500  0.7500  0.2460  2 Nb 1.98-2.21
O  0.7500  0.7500  0.7505  1 Zr 2.05, 1 Nb 2.16
O  0.9951  0.5049  0.1240  1 Nb 2.08, 1 Zr 2.16
O  0.9951  0.9951  0.1240  1 Nb 2.08, 1 Zr 2.16

Record 9
A geometry-optimized Ba4ZrNb9O18 structure, computed with PBE.

Summary:
**Calculated total energy**: -8.691 eV per atom
**Formation energy (no corrections)**: -2.5620 eV per atom
**Space-group type**: I4/mmm (139)

Lattice parameters (Å, degrees): 13.1898 13.1898 13.1898 153.76 153.76 37.46
Last column: nearest neighbours and their distance in Å.
Fractional positions:
Ba  0.0850  0.5850  0.5000  12 O 2.90-3.00
Ba  0.4150  0.9150  0.5000  12 O 2.90-3.00
Ba  0.5850  0.0850  0.5000  12 O 2.90-3.00
Ba  0.9150  0.4150  0.5000  12 O 2.90-3.00
Zr  0.0000  0.0000  0.0000  6 O 2.08-2.17
Nb  0.0000  0.0000  0.5000  4 O 2.12-2.13
Nb  0.0000  0.5000  0.0000  4 O 2.12-2.13
Nb  0.1691  0.1691  0.0000  5 O 2.12-2.14
Nb  0.3311  0.3311  0.0000  5 O 2.12-2.20
Nb  0.5000  0.0000  0.0000  4 O 2.12-2.13
Nb  0.5000  0.5000  0.0000  6 O 2.02-2.07
Nb  0.5000  0.5000  0.5000  4 O 2.12-2.13
Nb  0.6689  0.6689  0.0000  5 O 2.12-2.20
Nb  0.8309  0.8309  0.0000  5 O 2.12-2.14
O  0.0834  0.0834  0.0000  1 Zr 2.08, 1 Nb 2.14
O  0.0855  0.0855  0.5001  3 Nb 2.12-2.13
O  0.0855  0.5854  0.0000  3 Nb 2.12-2.13
O  0.2500  0.7500  0.5000  4 Nb 2.12
O  0.2558  0.2558  0.5117  1 Nb 2.07, 1 Zr 2.17
O  0.2558  0.7442  0.0000  1 Nb 2.07, 1 Zr 2.17
O  0.4146  0.4146  0.5001  3 Nb 2.12-2.13
O  0.4146  0.9145  0.0000  3 Nb 2.12-2.13
O  0.4191  0.4191  0.0000  2 Nb 2.02-2.20
O  0.5809  0.5809  0.0000  2 Nb 2.02-2.20
O  0.5854  0.0855  0.0000  3 Nb 2.12-2.13
O  0.5854  0.5854  0.4999  3 Nb 2.12-2.13
O  0.7442  0.2558  0.0000  1 Nb 2.07, 1 Zr 2.17
O  0.7442  0.7442  0.4883  1 Nb 2.07, 1 Zr 2.17
O  0.7500  0.2500  0.5000  4 Nb 2.12
O  0.9145  0.4146  0.0000  3 Nb 2.12-2.13
O  0.9145  0.9145  0.4999  3 Nb 2.12-2.13
O  0.9166  0.9166  0.0000  1 Zr 2.08, 1 Nb 2.14

Record 10
A geometry-optimized BaNbOs3 structure, computed with PBE.

Summary:
**E_form**: 3657.4 meV per atom
**E above lowest polymorph**: 2119 meV/atom
**Calculated total energy**: -5.479 eV per atom
**Space-group type**: Pm-3m (221)

Lattice parameters (Å, degrees): 4.8972 4.8972 4.8972 90.00 90.00 90.00
Last column: nearest neighbours and their distance in Å.
Fractional positions:
Ba  0.0000  0.0000  0.0000  6 Os 2.45
Nb  0.5000  0.5000  0.5000  12 Os 3.46
Os  0.0000  0.0000  0.5000  2 Ba 2.45
Os  0.0000  0.5000  0.0000  2 Ba 2.45
Os  0.5000  0.0000  0.0000  2 Ba 2.45